(1)
First-principles (PBE) data for a geometry-optimized Cr2FeGe2 structure, as listed in the Alexandria database.

POSCAR file:
```
Cr2FeGe2
1.0
6.2774 0.0000 0.0000
0.0000 6.2774 0.0000
0.0000 0.0000 3.4965
Cr Ge Fe
4 4 2
Direct
0.1607 0.6607 0.5000 Cr
0.6607 0.8393 0.5000 Cr
0.8393 0.3393 0.5000 Cr
0.3393 0.1607 0.5000 Cr
0.3568 0.8568 0.0000 Ge
0.8568 0.6432 0.0000 Ge
0.6432 0.1432 0.0000 Ge
0.1432 0.3568 0.0000 Ge
0.0000 0.0000 0.0000 Fe
0.5000 0.5000 0.0000 Fe
```

Calculated values
The calculation puts the theoretical density at 7.4 g cm⁻³. The space group is No. 127. Its formation energy is 0.13 eV/atom. Its density of states at the Fermi level is 0.69 states/eV per atom.

---

(2)
First-principles (PBE) data for a geometry-optimized CrIn2FeGe structure, as listed in the Alexandria database.

POSCAR file:
```
CrIn2FeGe
1.0
-4.0197 -0.9345 3.0063
-2.2698 -1.0373 -3.3573
1.4955 -4.8573 0.4897
Cr Ge Fe In
1 1 1 2
Direct
0.0000 0.0000 0.0000 Cr
0.5000 0.5000 0.5000 Ge
0.0000 0.5000 0.0000 Fe
0.0000 0.0000 0.5000 In
0.5000 0.0000 0.0000 In
```

Calculated values
The calculation puts the theoretical density at 6.2 g cm⁻³. The space group is No. 123. Its formation energy is 0.90 eV/atom. Its density of states at the Fermi level is 0.76 states/eV per atom.

---

(3)
First-principles (PBE) data for a geometry-optimized KCr2FeGe structure, as listed in the Alexandria database.

POSCAR file:
```
KCr2FeGe
1.0
-3.0153 -3.9918 0.4163
1.3816 -0.5847 4.4013
-3.7260 2.9778 1.5653
K Cr Ge Fe
1 2 1 1
Direct
0.0000 0.0000 0.0000 K
0.0000 0.0000 0.5000 Cr
0.5000 0.0000 0.0000 Cr
0.5000 0.5000 0.5000 Ge
0.0000 0.5000 0.0000 Fe
```

Calculated values
The calculation puts the theoretical density at 3.8 g cm⁻³. The space group is No. 123. Its formation energy is 2.35 eV/atom. Its density of states at the Fermi level is 0.84 states/eV per atom.

---

(4)
First-principles (PBE) data for a geometry-optimized MnCrFeGe2 structure, as listed in the Alexandria database.

POSCAR file:
```
MnCrFeGe2
1.0
-1.7292 -3.8730 1.4850
3.9366 -1.9004 -0.3723
0.9720 1.1858 4.2243
Cr Ge Mn Fe
1 2 1 1
Direct
0.0000 0.5000 0.0000 Cr
0.0000 0.0000 0.5000 Ge
0.5000 0.0000 0.0000 Ge
0.0000 0.0000 0.0000 Mn
0.5000 0.5000 0.5000 Fe
```

Calculated values
The calculation puts the theoretical density at 5.8 g cm⁻³. The space group is No. 123. Its formation energy is 0.88 eV/atom. Its density of states at the Fermi level is 1.29 states/eV per atom.

---

(5)
First-principles (PBE) data for a geometry-optimized CrFeGe2N structure, as listed in the Alexandria database.

POSCAR file:
```
CrFeGe2N
1.0
4.8105 0.0000 0.0000
0.0000 3.5254 0.0000
0.0000 0.0000 4.8105
Cr Ge Fe N
1 2 1 1
Direct
0.0000 0.0000 0.0000 Cr
0.0000 0.0000 0.5000 Ge
0.5000 0.0000 0.0000 Ge
0.5000 0.5000 0.5000 Fe
0.0000 0.5000 0.0000 N
```

Calculated values
The calculation puts the theoretical density at 5.4 g cm⁻³. The uncorrected formation energy is 0.697 eV/atom. The space group is No. 123. Its density of states at the Fermi level is 0.81 states/eV per atom.

---

(6)
First-principles (PBE) data for a geometry-optimized CrFe2Ni7Ge2 structure, as listed in the Alexandria database.

POSCAR file:
```
CrFe2Ni7Ge2
1.0
3.5435 -0.0078 0.2723
-0.0035 3.5435 0.2723
2.6700 2.6668 11.8442
Cr Fe Ni Ge
1 2 7 2
Direct
0.0000 0.0000 0.0000 Cr
0.8192 0.8192 0.6806 Fe
0.1808 0.1808 0.3194 Fe
0.5000 0.5000 0.0000 Ni
0.2509 0.2509 0.5000 Ni
0.7491 0.7491 0.5000 Ni
0.8448 0.3448 0.1556 Ni
0.3448 0.8448 0.1556 Ni
0.6552 0.1552 0.8444 Ni
0.1552 0.6552 0.8444 Ni
0.6868 0.6868 0.3134 Ge
0.3132 0.3132 0.6866 Ge
```

Calculated values
The calculation puts the theoretical density at 8.3 g cm⁻³. The space group is No. 65. Its formation energy is -0.01 eV/atom. Its density of states at the Fermi level is 1.00 states/eV per atom.

---

Number 1: E_tot -7.2554 eV/atom. Number 2: E_tot -4.7337 eV/atom. Number 3: E_tot -4.3314 eV/atom. Number 4: E_tot -6.4153 eV/atom. Number 5: E_tot -6.4323 eV/atom. Number 6: E_tot -6.3619 eV/atom.